(1)
Compound: TaInCl3
Source: Alexandria via LeMat-Bulk
Functional: PBE
Structure: relaxed

Lattice parameters (Å, degrees): 5.3089 5.3089 5.3089 90.00 90.00 90.00
Element x y z (fractional)
1 Ta 0.0000 0.0000 0.0000
2 In 0.5000 0.5000 0.5000
3 Cl 0.0000 0.5000 0.5000
4 Cl 0.5000 0.0000 0.5000
5 Cl 0.5000 0.5000 0.0000

**ΔE to the lowest computed polymorph**: 1017.7 meV/atom
**Magnetic moment**: 0.83 μB/atom
**Total DFT energy (no corrections)**: -3.43 eV per atom
**Uncorrected formation energy**: 593 meV per atom

=====

(2)
Compound: Pa3CoOs2
Source: Alexandria via LeMat-Bulk
Functional: PBE
Structure: relaxed

Lattice parameters (Å, degrees): 11.8091 3.8504 10.9403 90.00 90.00 90.00
Element x y z (fractional)
1 Pa 0.0557 0.2500 0.1349
2 Pa 0.1217 0.7500 0.5617
3 Pa 0.2163 0.2500 0.8205
4 Pa 0.2837 0.7500 0.3205
5 Pa 0.3783 0.2500 0.0617
6 Pa 0.4443 0.7500 0.6349
7 Pa 0.5557 0.2500 0.3651
8 Pa 0.6217 0.7500 0.9383
9 Pa 0.7163 0.2500 0.6795
10 Pa 0.7837 0.7500 0.1795
11 Pa 0.8783 0.2500 0.4383
12 Pa 0.9443 0.7500 0.8651
13 Co 0.1320 0.2500 0.3913
14 Co 0.3680 0.7500 0.8913
15 Co 0.6320 0.2500 0.1087
16 Co 0.8680 0.7500 0.6087
17 Os 0.0068 0.2500 0.6944
18 Os 0.1654 0.7500 0.0010
19 Os 0.3346 0.2500 0.5010
20 Os 0.4932 0.7500 0.1944
21 Os 0.5068 0.2500 0.8056
22 Os 0.6654 0.7500 0.4990
23 Os 0.8346 0.2500 0.9990
24 Os 0.9932 0.7500 0.3056

**Magnetic moment**: 0.00 μB/atom
**Total DFT energy (no corrections)**: -10.01 eV per atom
**Energy relative to the elements**: -0.333 eV/atom

=====

(3)
Compound: PrTlAg2
Source: Alexandria via LeMat-Bulk
Functional: PBE
Structure: relaxed

Lattice parameters (Å, degrees): 3.8781 3.8781 6.7196 90.00 90.00 90.00
Element x y z (fractional)
1 Pr 0.0000 0.0000 0.0000
2 Tl 0.0000 0.0000 0.5000
3 Ag 0.5000 0.5000 0.2520
4 Ag 0.5000 0.5000 0.7480

**ΔE to the lowest computed polymorph**: 137.8 meV/atom
**Magnetic moment**: 0.00 μB/atom
**Total DFT energy (no corrections)**: -3.33 eV per atom
**Energy relative to the elements**: -0.113 eV/atom

=====

(4)
Compound: RbY3Ir
Source: Alexandria via LeMat-Bulk
Functional: PBE
Structure: relaxed

Lattice parameters (Å, degrees): 5.5818 5.5818 5.5818 90.00 90.00 90.00
Element x y z (fractional)
1 Rb 0.0000 0.0000 0.0000
2 Y 0.0000 0.5000 0.5000
3 Y 0.5000 0.0000 0.5000
4 Y 0.5000 0.5000 0.0000
5 Ir 0.5000 0.5000 0.5000

**ΔE to the lowest computed polymorph**: 0.0 meV/atom
**Magnetic moment**: 0.00 μB/atom
**Total DFT energy (no corrections)**: -5.98 eV per atom
**Energy relative to the elements**: -0.134 eV/atom